[1]
A plane-wave DFT calculation with PBE was carried out for crystalline Sb3As at its relaxed geometry.

```
Sb3As
1.0
5.322 0.000 0.000
0.000 5.322 0.000
0.000 0.000 3.566
Sb As
3 1
direct
0.000 0.000 0.000
0.000 0.500 0.500
0.500 0.000 0.500
0.500 0.500 0.000
```

Computed properties:
Energy relative to the lowest polymorph listed for this composition (eV per formula unit): 1.06
Symmetry: P4/mmm, No. 123
Raw formation energy (meV per atom): 293


[2]
A plane-wave DFT calculation with PBE was carried out for crystalline SbAs at its relaxed geometry.

```
SbAs
1.0
0.000 2.923 2.923
2.923 0.000 2.923
2.923 2.923 0.000
Sb As
1 1
direct
0.000 0.000 0.000
0.500 0.500 0.500
```

Computed properties:
Energy relative to the lowest polymorph listed for this composition (eV per formula unit): 0.12
Symmetry: Fm-3m, No. 225
Raw formation energy (meV per atom): 48